(1)
VASP calculation (PBE) on CsCdSb after structural relaxation.

Lattice parameters (Å, degrees): 7.970 7.028 6.455 90.02 55.36 116.23
Atoms (fractional coordinates):
Cs 0.958 0.326 0.780
Cs 0.189 0.942 0.280
Cd 0.574 0.333 0.529
Cd 0.574 0.936 0.529
Sb 0.467 0.581 0.898
Sb 0.680 0.687 0.161

Values from the calculation:
Formation energy without anion corrections = -87 kJ/mol of formula units
Space group = No. 12
M_tot = 0.000 μB per formula unit



(2)
VASP calculation (PBE) on KBa2BeAs after structural relaxation.

Lattice parameters (Å, degrees): 6.506 4.449 6.506 90.00 90.00 90.00
Atoms (fractional coordinates):
Ba 0.500 0.000 0.000
Ba 0.000 0.000 0.500
As 0.000 0.500 0.000
Be 0.000 0.000 0.000
K 0.500 0.500 0.500

Values from the calculation:
Energy of formation from the pure elements = 0.394 eV/f.u.
Space group = No. 123
M_tot = 0.734 μB per formula unit



(3)
VASP calculation (PBE) on Zr3RePt after structural relaxation.

Lattice parameters (Å, degrees): 5.000 5.000 5.000 90.00 90.00 90.00
Atoms (fractional coordinates):
Pt 0.500 0.500 0.500
Zr 0.500 0.000 0.000
Zr 0.000 0.500 0.000
Zr 0.000 0.000 0.500
Re 0.000 0.000 0.000

Values from the calculation:
Energy of formation from the pure elements = 2.915 eV/f.u.
Space group = No. 221
M_tot = 0.000 μB per formula unit
Energy above the lowest structure with this stoichiometry = 0 meV per atom



(4)
VASP calculation (PBE) on Ho2TmAu4 after structural relaxation.

Lattice parameters (Å, degrees): 4.946 4.946 8.628 73.35 73.35 60.00
Atoms (fractional coordinates):
Au 0.880 0.880 0.359
Au 0.120 0.120 0.641
Au 0.634 0.634 0.097
Au 0.366 0.366 0.903
Tm 0.000 0.000 0.000
Ho 0.241 0.241 0.277
Ho 0.759 0.759 0.723

Values from the calculation:
Energy of formation from the pure elements = -5.113 eV/f.u.
Space group = No. 166
M_tot = 0.000 μB per formula unit
Energy above the lowest structure with this stoichiometry = 0 meV per atom



(5)
VASP calculation (PBE) on TlNiW2 after structural relaxation.

Lattice parameters (Å, degrees): 5.180 5.180 5.180 136.55 136.55 63.14
Atoms (fractional coordinates):
Ni 0.250 0.750 0.500
W 0.000 0.000 0.000
W 0.500 0.500 0.000
Tl 0.750 0.250 0.500

Values from the calculation:
Energy of formation from the pure elements = 2.439 eV/f.u.
Space group = No. 139
M_tot = 0.000 μB per formula unit
Energy above the lowest structure with this stoichiometry = 119 meV per atom



(6)
VASP calculation (PBE) on Pu2CdBi after structural relaxation.

Lattice parameters (Å, degrees): 4.139 4.139 6.477 90.00 90.00 90.00
Atoms (fractional coordinates):
Pu 0.000 0.000 0.755
Pu 0.000 0.000 0.245
Cd 0.500 0.500 0.500
Bi 0.500 0.500 0.000

Values from the calculation:
Energy of formation from the pure elements = -0.664 eV/f.u.
Space group = No. 123
M_tot = 11.760 μB per formula unit
Energy above the lowest structure with this stoichiometry = 39 meV per atom



(7)
VASP calculation (PBE) on InReHg2 after structural relaxation.

Lattice parameters (Å, degrees): 3.007 3.007 9.309 90.00 90.00 90.00
Atoms (fractional coordinates):
Re 0.500 0.500 0.748
In 0.000 0.000 0.536
Hg 0.000 0.000 0.967
Hg 0.500 0.500 0.250

Values from the calculation:
Energy of formation from the pure elements = 2.637 eV/f.u.
Space group = No. 99
M_tot = 1.261 μB per formula unit



(8)
VASP calculation (PBE) on TiFe2Pt3 after structural relaxation.

Lattice parameters (Å, degrees): 3.790 2.775 8.260 90.00 90.00 90.00
Atoms (fractional coordinates):
Pt 0.000 0.000 0.329
Pt 0.000 0.000 0.000
Pt 0.000 0.000 0.671
Fe 0.500 0.500 0.843
Fe 0.500 0.500 0.157
Ti 0.500 0.500 0.500

Values from the calculation:
Energy of formation from the pure elements = -3.137 eV/f.u.
Space group = No. 47
M_tot = 5.794 μB per formula unit



(9)
VASP calculation (PBE) on MnRhC3 after structural relaxation.

Lattice parameters (Å, degrees): 3.723 3.723 3.723 90.00 90.00 90.00
Atoms (fractional coordinates):
C 0.000 0.000 0.500
C 0.000 0.500 0.000
C 0.500 0.000 0.000
Mn 0.000 0.000 0.000
Rh 0.500 0.500 0.500

Values from the calculation:
Energy of formation from the pure elements = 9.243 eV/f.u.
Space group = No. 221
M_tot = 0.011 μB per formula unit
Energy above the lowest structure with this stoichiometry = 0 meV per atom



(10)
VASP calculation (PBE) on YTcAu3 after structural relaxation.

Lattice parameters (Å, degrees): 4.991 4.991 4.991 90.00 90.00 90.00
Atoms (fractional coordinates):
Au 0.000 0.500 0.000
Au 0.000 0.000 0.500
Au 0.500 0.000 0.000
Y 0.500 0.500 0.500
Tc 0.000 0.000 0.000

Values from the calculation:
Energy of formation from the pure elements = 2.382 eV/f.u.
Space group = No. 221
M_tot = 0.001 μB per formula unit
Energy above the lowest structure with this stoichiometry = 0 meV per atom



What is the M_tot in the eighth record?
5.794 μB per formula unit



Look up the M_tot of the eighth one.
5.794 μB per formula unit



What is the formula in the sixth record?
Pu2CdBi



What did the tenth record say?
VASP calculation (PBE) on YTcAu3 after structural relaxation.

Lattice parameters (Å, degrees): 4.991 4.991 4.991 90.00 90.00 90.00
Atoms (fractional coordinates):
Au 0.000 0.500 0.000
Au 0.000 0.000 0.500
Au 0.500 0.000 0.000
Y 0.500 0.500 0.500
Tc 0.000 0.000 0.000

Values from the calculation:
Energy of formation from the pure elements = 2.382 eV/f.u.
Space group = No. 221
M_tot = 0.001 μB per formula unit
Energy above the lowest structure with this stoichiometry = 0 meV per atom